No. 1
DFT (PBE) results for a relaxed structure of Sr3TaSi.

* total moment: 0.00 μB per formula unit
* mass density: 4.0 g/cm3
* formation energy (no corrections): 1.284 eV per atom
* crystal system: cubic

Unit cell a=5.8073 b=5.8073 c=5.8073 alpha=90.00 beta=90.00 gamma=90.00
Closest atoms and distances in Å follow each position.
Space group Pm-3m (No. 221)
Unique sites:
Sr 0.0000 0.0000 0.5000 [3 per cell]  2 Ta 2.90
Ta 0.0000 0.0000 0.0000 [1 per cell]  6 Sr 2.90
Si 0.5000 0.5000 0.5000 [1 per cell]  12 Sr 4.11

---

No. 2
DFT (PBE) results for a relaxed structure of SrTa2Si.

* total moment: 0.00 μB per formula unit
* mass density: 9.8 g/cm3
* formation energy (no corrections): 0.731 eV per atom
* crystal system: monoclinic

Unit cell a=6.0031 b=10.2148 c=2.9159 alpha=90.00 beta=114.59 gamma=90.00
Closest atoms and distances in Å follow each position.
Space group C2/m (No. 12)
Unique sites:
Sr 0.0000 0.0000 0.0000 [2 per cell]  2 Sr 2.92, 4 Si 3.00-3.20, 4 Ta 3.01
Ta 0.2500 0.2500 0.5000 [4 per cell]  6 Ta 2.92-3.20, 2 Sr 3.01, 2 Si 3.01
Si 0.0000 0.5000 0.0000 [2 per cell]  2 Si 2.92, 4 Sr 3.00-3.20, 4 Ta 3.01

---

No. 3
DFT (PBE) results for a relaxed structure of SrTa2Si.

* total moment: 0.00 μB per formula unit
* mass density: 9.7 g/cm3
* formation energy (no corrections): 0.688 eV per atom
* crystal system: tetragonal

Unit cell a=4.8544 b=4.8544 c=6.9141 alpha=90.00 beta=90.00 gamma=90.00
Closest atoms and distances in Å follow each position.
Space group I-4m2 (No. 119)
Unique sites:
Sr 0.0000 0.0000 0.0000 [2 per cell]  4 Ta 2.98, 4 Si 2.98
Ta 0.0000 0.0000 0.5000 [2 per cell]  4 Ta 2.98, 4 Si 2.98
Ta 0.0000 0.5000 0.7500 [2 per cell]  4 Ta 2.98, 4 Sr 2.98
Si 0.0000 0.5000 0.2500 [2 per cell]  4 Ta 2.98, 4 Sr 2.98

---

- formation energy (no corrections) of number 3 (SrTa2Si)?
  0.688 eV per atom